No. 1
This record from Alexandria via LeMat-Bulk describes crystalline K2SrOsPt at its relaxed geometry. The functional is PBE.

The value obtained for the total magnetization is 1.46 μB per formula unit. The energy of formation comes out at 1.734 eV per atom.

The structure belongs to space group P4/mmm (No. 123); the cell edges are 6.3896, 6.3896 and 4.9812 Å and the angles 90.00°, 90.00° and 90.00°. The inequivalent atoms are K at (0.0000, 0.5000, 0.0000), Sr at (0.0000, 0.0000, 0.0000), Os at (0.0000, 0.0000, 0.5000) and Pt at (0.5000, 0.5000, 0.5000).



No. 2
This record from Alexandria via LeMat-Bulk describes crystalline Ac2CePuN4 at its relaxed geometry. The functional is PBE.

The value obtained for the total magnetization is 4.71 μB per formula unit. Its uncorrected formation energy is -9.45 eV/f.u.

The structure belongs to space group P2/m (No. 10); the cell edges are 6.3747, 3.6624 and 6.4701 Å and the angles 90.00°, 109.46° and 90.00°. The inequivalent atoms are Ac at (0.0000, 0.0000, 0.0000), Ac at (0.5000, 0.5000, 0.0000), Ce at (0.0000, 0.5000, 0.5000), Pu at (0.5000, 0.0000, 0.5000), N at (0.2391, 0.0000, 0.7119) and N at (0.2740, 0.5000, 0.2948).



No. 3
This record from Alexandria via LeMat-Bulk describes crystalline TaBeCd2 at its relaxed geometry. The functional is PBE.

The value obtained for the total magnetization is 0.00 μB per formula unit. The energy of formation comes out at 0.377 eV per atom.

The structure belongs to space group P4/mmm (No. 123); the cell edges are 2.8962, 2.8962 and 8.0454 Å and the angles 90.00°, 90.00° and 90.00°. The inequivalent atoms are Ta at (0.0000, 0.0000, 0.0000), Be at (0.0000, 0.0000, 0.5000) and Cd at (0.5000, 0.5000, 0.2830).



No. 4
This record from Alexandria via LeMat-Bulk describes crystalline NaFe3Se at its relaxed geometry. The functional is PBE.

For the polymorph energy (0 for the lowest one), the calculation gives 1138 meV/atom. The value obtained for the total magnetization is 8.99 μB per formula unit. Its uncorrected formation energy is 8.87 eV/f.u.

The structure belongs to space group Pm-3m (No. 221); the cell edges are 4.5265, 4.5265 and 4.5265 Å and the angles 90.00°, 90.00° and 90.00°. The inequivalent atoms are Na at (0.0000, 0.0000, 0.0000), Fe at (0.0000, 0.0000, 0.5000) and Se at (0.5000, 0.5000, 0.5000).